Below is an optimized crystal structure of IrPd2O6, with properties calculated at the PBE-GGA level.

a = 4.607 Å, b = 4.607 Å, c = 9.603 Å
α = 90.00°, β = 90.00°, γ = 90.00°
Fractional coordinates of all 18 atoms:
1 Ir 0.000 0.000 0.000
2 Ir 0.500 0.500 0.500
3 Pd 0.000 0.000 0.334
4 Pd 0.000 0.000 0.666
5 Pd 0.500 0.500 0.166
6 Pd 0.500 0.500 0.834
7 O 0.189 0.189 0.163
8 O 0.189 0.189 0.837
9 O 0.203 0.203 0.500
10 O 0.297 0.703 0.000
11 O 0.311 0.689 0.337
12 O 0.311 0.689 0.663
13 O 0.689 0.311 0.337
14 O 0.689 0.311 0.663
15 O 0.703 0.297 0.000
16 O 0.797 0.797 0.500
17 O 0.811 0.811 0.163
18 O 0.811 0.811 0.837

DOS at the Fermi energy: 15.19 states/eV per cell
Total DFT energy (no corrections): -106.4 eV/cell